[1]
Compound: SrLa2CdPt
Source: Alexandria via LeMat-Bulk
Functional: SCAN
Structure: single point on PBEsol structure

- Energy of formation from the pure elements: 718 meV/atom
- Crystal system: tetragonal

Lattice parameters (Å, degrees): 5.0215 5.7768 5.7768 90.00 90.00 90.00
Fractional positions:
Sr  0.0000  0.0000  0.0000
Pt  0.5000  0.0000  0.0000
Cd  0.5000  0.5000  0.5000
La  0.0000  0.5000  0.0000
La  0.0000  0.0000  0.5000


[2]
Compound: Sr2NCl
Source: Alexandria via LeMat-Bulk
Functional: SCAN
Structure: single point on PBEsol structure

- Uncorrected formation energy: -1121 meV per atom
- Crystal system: cubic

Lattice parameters (Å, degrees): 4.7973 4.7973 4.7973 60.00 60.00 60.00
Fractional positions:
Sr  0.7500  0.7500  0.7500
Sr  0.2500  0.2500  0.2500
Cl  0.5000  0.5000  0.5000
N  0.0000  0.0000  0.0000


[3]
Compound: GeTe2IN
Source: Alexandria via LeMat-Bulk
Functional: SCAN
Structure: single point on PBEsol structure

- Uncorrected formation energy: 1275 meV per atom
- Crystal system: tetragonal

Lattice parameters (Å, degrees): 5.3648 5.3648 5.7023 90.00 90.00 90.00
Site moments in Bohr magnetons follow the coordinates.
Fractional positions:
Ge  0.0000  0.0000  0.0000  0.02
Te  0.0000  0.5000  0.0000  -0.38
Te  0.5000  0.0000  0.0000  -0.38
I  0.0000  0.0000  0.5000  -0.17
N  0.5000  0.5000  0.5000  1.90


[4]
Compound: La2RhAu
Source: Alexandria via LeMat-Bulk
Functional: SCAN
Structure: single point on PBEsol structure

- Energy of formation from the pure elements: -917 meV/atom
- Crystal system: trigonal

Lattice parameters (Å, degrees): 4.1326 4.1326 7.5123 74.03 74.03 60.00
Fractional positions:
La  0.7409  0.7409  0.7774
La  0.2591  0.2591  0.2226
Rh  0.0000  0.0000  0.0000
Au  0.5000  0.5000  0.5000


[5]
Compound: GaCuMoPb2
Source: Alexandria via LeMat-Bulk
Functional: SCAN
Structure: single point on PBEsol structure

- Energy of formation from the pure elements: 1066 meV/atom
- Crystal system: tetragonal

Lattice parameters (Å, degrees): 4.4006 5.3120 5.3120 90.00 90.00 90.00
Site moments in Bohr magnetons follow the coordinates.
Fractional positions:
Pb  0.0000  0.0000  0.5000  -0.04
Pb  0.0000  0.5000  0.0000  -0.04
Ga  0.0000  0.0000  0.0000  0.04
Mo  0.5000  0.5000  0.5000  3.85
Cu  0.5000  0.0000  0.0000  0.03


[6]
Compound: AlTl2ZnC
Source: Alexandria via LeMat-Bulk
Functional: SCAN
Structure: single point on PBEsol structure

- Energy of formation from the pure elements: 845 meV/atom
- Crystal system: tetragonal

Lattice parameters (Å, degrees): 3.6675 5.5884 5.5884 90.00 90.00 90.00
Fractional positions:
Zn  0.5000  0.5000  0.5000
C  0.5000  0.0000  0.0000
Al  0.0000  0.0000  0.0000
Tl  0.0000  0.5000  0.0000
Tl  0.0000  0.0000  0.5000


[7]
Compound: CoTeW2
Source: Alexandria via LeMat-Bulk
Functional: SCAN
Structure: single point on PBEsol structure

- Uncorrected formation energy: 756 meV per atom
- Crystal system: orthorhombic

Lattice parameters (Å, degrees): 2.8609 2.8609 8.3390 90.00 90.00 107.42
Fractional positions:
Co  0.0000  0.0000  0.5229
W  0.5000  0.5000  0.7293
W  0.0000  0.0000  0.9742
Te  0.5000  0.5000  0.2735


[8]
Compound: SrAs2P
Source: Alexandria via LeMat-Bulk
Functional: SCAN
Structure: single point on PBEsol structure

- Energy of formation from the pure elements: -155 meV/atom
- Crystal system: tetragonal

Lattice parameters (Å, degrees): 4.1061 4.1061 5.7768 110.82 110.82 90.00
Fractional positions:
P  0.5000  0.5000  0.0000
As  0.7500  0.2500  0.5000
As  0.2500  0.7500  0.5000
Sr  0.0000  0.0000  0.0000


[9]
Compound: Al3C
Source: Alexandria via LeMat-Bulk
Functional: SCAN
Structure: single point on PBEsol structure

- Energy of formation from the pure elements: -31 meV/atom
- Crystal system: trigonal
- Energy above the most stable polymorph in this dataset: 0.000 eV/atom

Lattice parameters (Å, degrees): 3.0522 3.0522 6.8614 77.15 77.15 60.00
Fractional positions:
Al  0.5000  0.5000  0.5000
Al  0.2808  0.2808  0.1576
Al  0.7192  0.7192  0.8424
C  0.0000  0.0000  0.0000


[10]
Compound: Ho3AlNi8
Source: Alexandria via LeMat-Bulk
Functional: SCAN
Structure: single point on PBEsol structure

- Energy of formation from the pure elements: -465 meV/atom
- Crystal system: hexagonal

Lattice parameters (Å, degrees): 4.9635 4.9635 15.7681 90.00 90.00 120.00
Fractional positions:
Ni  0.1689  0.3379  0.3746
Ni  0.0000  0.0000  0.2500
Ni  0.1689  0.8311  0.1254
Ni  0.1689  0.8311  0.3746
Ni  0.6621  0.8311  0.1254
Ni  0.8311  0.1689  0.6254
Ni  0.1689  0.3379  0.1254
Ni  0.8311  0.1689  0.8746
Ni  0.3379  0.1689  0.6254
Ni  0.0000  0.0000  0.7500
Ni  0.8311  0.6621  0.6254
Ni  0.3379  0.1689  0.8746
Ni  0.6667  0.3333  0.7500
Ni  0.6621  0.8311  0.3746
Ni  0.8311  0.6621  0.8746
Ni  0.3333  0.6667  0.2500
Ho  0.6667  0.3333  0.0457
Ho  0.6667  0.3333  0.4543
Ho  0.3333  0.6667  0.5457
Ho  0.6667  0.3333  0.2500
Ho  0.3333  0.6667  0.7500
Ho  0.3333  0.6667  0.9543
Al  0.0000  0.0000  0.0000
Al  0.0000  0.0000  0.5000


[11]
Compound: TcOs2W
Source: Alexandria via LeMat-Bulk
Functional: SCAN
Structure: single point on PBEsol structure

- Energy of formation from the pure elements: 97 meV/atom
- Crystal system: orthorhombic
- Energy above the most stable polymorph in this dataset: 0.091 eV/atom

Lattice parameters (Å, degrees): 2.7385 3.8359 5.5100 90.00 90.00 90.00
Fractional positions:
Os  0.5000  0.5000  0.2559
Os  0.0000  0.0000  0.0049
Tc  0.0000  0.0000  0.4867
W  0.5000  0.5000  0.7525


[12]
Compound: Zn2PRh
Source: Alexandria via LeMat-Bulk
Functional: SCAN
Structure: single point on PBEsol structure

- Energy of formation from the pure elements: -184 meV/atom
- Crystal system: tetragonal

Lattice parameters (Å, degrees): 3.3281 3.3281 4.8562 90.00 90.00 90.00
Fractional positions:
Zn  0.0000  0.0000  0.7495
Zn  0.0000  0.0000  0.2505
P  0.5000  0.5000  0.0000
Rh  0.5000  0.5000  0.5000


[13]
Compound: TaSbBr2
Source: Alexandria via LeMat-Bulk
Functional: SCAN
Structure: single point on PBEsol structure

- Uncorrected formation energy: 25 meV per atom
- Crystal system: tetragonal

Lattice parameters (Å, degrees): 3.1026 3.1026 9.7009 90.00 90.00 90.00
Fractional positions:
Br  0.5000  0.5000  0.2397
Br  0.0000  0.0000  0.9379
Ta  0.5000  0.5000  0.7690
Sb  0.0000  0.0000  0.5535


[14]
Compound: TaCoSi
Source: Alexandria via LeMat-Bulk
Functional: SCAN
Structure: single point on PBEsol structure

- Uncorrected formation energy: 69 meV per atom
- Crystal system: trigonal

Lattice parameters (Å, degrees): 2.7810 2.7810 6.0819 90.00 90.00 120.00
Site moments in Bohr magnetons follow the coordinates.
Fractional positions:
Ta  0.6667  0.3333  0.3252  0.02
Co  0.0000  0.0000  0.9785  0.82
Si  0.3333  0.6667  0.6963  -0.01


[15]
Compound: TcTe2W
Source: Alexandria via LeMat-Bulk
Functional: SCAN
Structure: single point on PBEsol structure

- Uncorrected formation energy: 1164 meV per atom
- Crystal system: monoclinic
- Energy above the most stable polymorph in this dataset: 0.582 eV/atom

Lattice parameters (Å, degrees): 3.2266 5.3262 5.3262 109.06 105.94 105.94
Fractional positions:
W  0.5000  0.0000  0.0000
Te  0.0000  0.5000  0.0000
Te  0.0000  0.0000  0.5000
Tc  0.5000  0.5000  0.5000


[16]
Compound: LiZn4As
Source: Alexandria via LeMat-Bulk
Functional: SCAN
Structure: single point on PBEsol structure

- Energy of formation from the pure elements: 8 meV/atom
- Crystal system: cubic

Lattice parameters (Å, degrees): 5.1058 5.1058 5.1058 60.00 60.00 60.00
Fractional positions:
Zn  0.8764  0.3745  0.3745
Zn  0.3745  0.3745  0.8764
Zn  0.3745  0.3745  0.3745
Zn  0.3745  0.8764  0.3745
As  0.7500  0.7500  0.7500
Li  0.0000  0.0000  0.0000


[17]
Compound: Ta3Au
Source: Alexandria via LeMat-Bulk
Functional: SCAN
Structure: single point on PBEsol structure

- Energy of formation from the pure elements: -112 meV/atom
- Crystal system: tetragonal
- Energy above the most stable polymorph in this dataset: 0.049 eV/atom

Lattice parameters (Å, degrees): 3.6639 4.3354 4.3354 90.00 90.00 90.00
Fractional positions:
Au  0.0000  0.0000  0.0000
Ta  0.5000  0.0000  0.5000
Ta  0.0000  0.5000  0.5000
Ta  0.5000  0.5000  0.0000


[18]
Compound: TaAgO3
Source: Alexandria via LeMat-Bulk
Functional: SCAN
Structure: single point on PBEsol structure

- Uncorrected formation energy: -2170 meV per atom
- Crystal system: cubic

Lattice parameters (Å, degrees): 3.9547 3.9547 3.9547 90.00 90.00 90.00
Fractional positions:
Ag  0.5000  0.5000  0.5000
O  0.5000  0.0000  0.0000
O  0.0000  0.5000  0.0000
O  0.0000  0.0000  0.5000
Ta  0.0000  0.0000  0.0000


[19]
Compound: SiAgBr2
Source: Alexandria via LeMat-Bulk
Functional: SCAN
Structure: single point on PBEsol structure

- Uncorrected formation energy: 154 meV per atom
- Crystal system: orthorhombic
- Energy above the most stable polymorph in this dataset: 0.104 eV/atom

Lattice parameters (Å, degrees): 3.5539 3.5024 8.7165 90.00 90.00 120.49
Fractional positions:
Br  0.5000  0.0000  0.3054
Br  0.0000  0.0000  0.9429
Si  0.0000  0.0000  0.5260
Ag  0.5000  0.0000  0.7257


[20]
Compound: CrNi2Rh
Source: Alexandria via LeMat-Bulk
Functional: SCAN
Structure: single point on PBEsol structure

- Energy of formation from the pure elements: 69 meV/atom
- Crystal system: monoclinic

Lattice parameters (Å, degrees): 2.5463 4.3516 4.3641 99.87 106.96 90.00
Fractional positions:
Ni  0.9991  0.0062  0.9981
Ni  0.7481  0.2347  0.4963
Cr  0.2529  0.7510  0.5058
Rh  0.4998  0.5081  0.9996


[21]
Compound: ZnNiP2
Source: Alexandria via LeMat-Bulk
Functional: SCAN
Structure: single point on PBEsol structure

- Energy of formation from the pure elements: -79 meV/atom
- Crystal system: orthorhombic

Lattice parameters (Å, degrees): 2.5444 3.4921 6.6100 90.00 90.00 90.00
Fractional positions:
Zn  0.0000  0.0000  0.4664
Ni  0.5000  0.5000  0.9383
P  0.5000  0.5000  0.2744
P  0.0000  0.0000  0.8210


[22]
Compound: Sc3Tc
Source: Alexandria via LeMat-Bulk
Functional: SCAN
Structure: single point on PBEsol structure

- Energy of formation from the pure elements: 10 meV/atom
- Crystal system: hexagonal

Lattice parameters (Å, degrees): 3.2045 3.2045 9.2174 90.00 90.00 120.00
Site moments in Bohr magnetons follow the coordinates.
Fractional positions:
Sc  0.3333  0.6667  0.7080  0.10
Sc  0.0000  0.0000  0.0000  0.40
Sc  0.3333  0.6667  0.2920  0.10
Tc  0.0000  0.0000  0.5000  0.00


[23]
Compound: Na2CdAgTe
Source: Alexandria via LeMat-Bulk
Functional: SCAN
Structure: single point on PBEsol structure

- Uncorrected formation energy: 284 meV per atom
- Crystal system: tetragonal

Lattice parameters (Å, degrees): 5.2808 5.8302 5.8302 90.00 90.00 90.00
Fractional positions:
Na  0.0000  0.5000  0.0000
Na  0.0000  0.0000  0.5000
Cd  0.0000  0.0000  0.0000
Te  0.5000  0.0000  0.0000
Ag  0.5000  0.5000  0.5000


[24]
Compound: SrSi2Ni
Source: Alexandria via LeMat-Bulk
Functional: SCAN
Structure: single point on PBEsol structure

- Uncorrected formation energy: -548 meV per atom
- Crystal system: trigonal

Lattice parameters (Å, degrees): 3.8926 3.8926 6.0757 71.32 71.32 60.00
Fractional positions:
Si  0.7950  0.7950  0.6150
Si  0.2050  0.2050  0.3850
Ni  0.5000  0.5000  0.5000
Sr  0.0000  0.0000  0.0000


[25]
Compound: KAs3S
Source: Alexandria via LeMat-Bulk
Functional: SCAN
Structure: single point on PBEsol structure

- Uncorrected formation energy: 392 meV per atom
- Crystal system: cubic

Lattice parameters (Å, degrees): 4.9153 4.9153 4.9153 90.00 90.00 90.00
Fractional positions:
As  0.5000  0.0000  0.0000
As  0.0000  0.0000  0.5000
As  0.0000  0.5000  0.0000
S  0.0000  0.0000  0.0000
K  0.5000  0.5000  0.5000


[26]
Compound: MnTeN2Cl
Source: Alexandria via LeMat-Bulk
Functional: SCAN
Structure: single point on PBEsol structure

- Uncorrected formation energy: 613 meV per atom
- Crystal system: tetragonal

Lattice parameters (Å, degrees): 3.6753 3.6753 5.3617 90.00 90.00 90.00
Site moments in Bohr magnetons follow the coordinates.
Fractional positions:
Mn  0.0000  0.0000  0.0000  1.67
N  0.5000  0.0000  0.0000  -0.74
N  0.0000  0.5000  0.0000  -0.74
Cl  0.5000  0.5000  0.5000  -0.02
Te  0.0000  0.0000  0.5000  -0.07


[27]
Compound: Mn2MoSe
Source: Alexandria via LeMat-Bulk
Functional: SCAN
Structure: single point on PBEsol structure

- Uncorrected formation energy: 295 meV per atom
- Crystal system: trigonal

Lattice parameters (Å, degrees): 2.7957 2.7957 7.9415 79.86 79.86 60.00
Site moments in Bohr magnetons follow the coordinates.
Fractional positions:
Mn  0.7461  0.7461  0.7617  3.23
Mn  0.2539  0.2539  0.2383  3.23
Se  0.0000  0.0000  0.0000  -0.16
Mo  0.5000  0.5000  0.5000  -0.44


[28]
Compound: SiPb2Br
Source: Alexandria via LeMat-Bulk
Functional: SCAN
Structure: single point on PBEsol structure

- Uncorrected formation energy: 259 meV per atom
- Crystal system: trigonal
- Energy above the most stable polymorph in this dataset: 0.173 eV/atom

Lattice parameters (Å, degrees): 3.4562 3.4562 10.1666 80.21 80.21 60.00
Fractional positions:
Br  0.2362  0.2362  0.2914
Pb  0.7608  0.7608  0.7176
Pb  0.9975  0.9975  0.0074
Si  0.5055  0.5055  0.4836


[29]
Compound: Cd2CoSe
Source: Alexandria via LeMat-Bulk
Functional: SCAN
Structure: single point on PBEsol structure

- Uncorrected formation energy: 360 meV per atom
- Crystal system: tetragonal

Lattice parameters (Å, degrees): 4.0564 4.0564 5.1118 113.38 113.38 90.00
Site moments in Bohr magnetons follow the coordinates.
Fractional positions:
Cd  0.0000  0.0000  0.0000  -0.03
Cd  0.7500  0.2500  0.5000  -0.04
Co  0.5000  0.5000  0.0000  1.76
Se  0.2500  0.7500  0.5000  -0.01